First-principles (PBE) data for Na2BeSnO4 after structural relaxation, as listed in the Alexandria database.

**Energy relative to the elements, uncorrected**: -1855 meV per atom
**Fermi-level density of states**: 0.0 states/eV/f.u.
**Electronic total energy**: -5.630 eV/atom

a b c (Å): 5.175 5.175 7.650
angles (deg): 90.00 90.00 90.00
Space group I-4 (No. 82)
Unique sites:
Na1 0.000 0.000 0.000
Na2 0.000 0.500 0.250
Be1 0.000 0.500 0.750
Sn1 0.000 0.000 0.500
O1 0.168 0.278 0.638